Material: VSbTe2O
Method: DFT, GGA+U
State: optimized geometry

Unit cell a=4.868 b=4.868 c=4.704 alpha=90.00 beta=90.00 gamma=90.00
Fractional coordinates of all 5 atoms:
V 0.000 0.000 0.000
Sb 0.500 0.500 0.000
Te 0.000 0.500 0.500
Te 0.500 0.000 0.500
O 0.500 0.500 0.500

Results
E above lowest polymorph	0.00	eV/f.u.
density of states at the Fermi level	3.18	states/eV/cell
magnetic moment	0.49	μB/atom
space-group type	P4/mmm, No. 123